DFT (GGA-PBE) results for a relaxed structure of NaCrPd2.

Cell: 2.8049 2.8049 8.1372 Å, 90.00 90.00 90.00°
Closest atoms and distances in Å follow each position.
Space group P4/mmm (No. 123)
One atom of each set of equivalent atoms:
Na 0.0000 0.0000 0.0000 x1  4 Na 2.80, 8 Pd 3.09
Cr 0.0000 0.0000 0.5000 x1  8 Pd 2.61, 4 Cr 2.80
Pd 0.5000 0.5000 0.2906 x2  4 Cr 2.61, 4 Pd 2.80

Results
Its density of states at the Fermi level is 3.73 states/eV/f.u. For the energy of formation from the pure elements, the calculation gives 0.08 eV per atom. The electronic total energy comes out at -5.25 eV/atom.



DFT (GGA-PBE) results for a relaxed structure of Li2Pm2TmGa2.

Cell: 4.5976 4.5976 26.8451 Å, 90.00 90.00 120.00°
Closest atoms and distances in Å follow each position.
Space group R-3m (No. 166, hexagonal axes)
One atom of each set of equivalent atoms:
Li 0.0000 0.0000 0.1114 x6  3 Ga 2.67
Pm 0.0000 0.0000 0.3753 x6  3 Ga 3.08, 3 Li 3.24, 1 Tm 3.35
Tm 0.0000 0.0000 0.5000 x3  6 Li 3.04, 6 Ga 3.20, 2 Pm 3.35
Ga 0.0000 0.0000 0.2331 x6  3 Li 2.67

Results
Its density of states at the Fermi level is 5.56 states/eV/f.u. For the energy of formation from the pure elements, the calculation gives -0.28 eV per atom. The electronic total energy comes out at -3.69 eV/atom.



DFT (GGA-PBE) results for a relaxed structure of SrMn2Tc.

Cell: 3.2292 5.3284 9.5142 Å, 90.00 90.00 90.00°
Closest atoms and distances in Å follow each position.
Space group Immm (No. 71)
One atom of each set of equivalent atoms:
Sr 0.0000 0.0000 0.0000 x2  4 Tc 3.12, 2 Sr 3.23, 8 Mn 3.26-3.29
Mn 0.0000 0.5000 0.2028 x4  2 Tc 2.52
Tc 0.0000 0.0000 0.5000 x2  4 Mn 2.52

Results
Its density of states at the Fermi level is 4.01 states/eV/f.u. For the energy of formation from the pure elements, the calculation gives 0.83 eV per atom. The electronic total energy comes out at -6.76 eV/atom.